Entry 1:
Here is a geometry-optimized Cs3PmO3 structure from Alexandria via LeMat-Bulk. Energies are from PBE.

Geometry as CIF:
```
data_Cs3PmO3
_chemical_formula_sum 'Cs6 Pm2 O6'
_cell_length_a 7.7214
_cell_length_b 7.7214
_cell_length_c 7.8402
_cell_angle_alpha 95.21
_cell_angle_beta 95.21
_cell_angle_gamma 117.23
_symmetry_space_group_name_H-M 'P 1'
_symmetry_Int_Tables_number 1
_symmetry_space_group_name_Hall 'P 1'
loop_
_atom_site_label
_atom_site_fract_x
_atom_site_fract_y
_atom_site_fract_z
_atom_site_occupancy
Cs1 0.2174 0.7826 0.0000 1
Cs2 0.2615 0.7385 0.5000 1
Cs3 0.3534 0.3534 0.1463 1
Cs4 0.6466 0.6466 0.8537 1
Cs5 0.7385 0.2615 0.5000 1
Cs6 0.7826 0.2174 0.0000 1
Pm1 0.1768 0.1768 0.6533 1
Pm2 0.8232 0.8232 0.3467 1
O1 0.1076 0.1076 0.3591 1
O2 0.1730 0.4471 0.7664 1
O3 0.4471 0.1730 0.7664 1
O4 0.5529 0.8270 0.2336 1
O5 0.8270 0.5529 0.2336 1
O6 0.8924 0.8924 0.6409 1
```

Calculated values
energy relative to the lowest polymorph listed for this composition = 0.0141 eV per atom
calculated total energy = -5.02 eV/atom
raw formation energy = -1.85 eV/atom

***

Entry 2:
Here is a geometry-optimized PuUMo structure from Alexandria via LeMat-Bulk. Energies are from PBE.

Geometry as CIF:
```
data_PuUMo
_chemical_formula_sum 'Pu2 U2 Mo2'
_cell_length_a 6.3496
_cell_length_b 5.5868
_cell_length_c 4.9814
_cell_angle_alpha 73.61
_cell_angle_beta 57.58
_cell_angle_gamma 48.82
_symmetry_space_group_name_H-M 'P 1'
_symmetry_Int_Tables_number 1
_symmetry_space_group_name_Hall 'P 1'
loop_
_atom_site_label
_atom_site_fract_x
_atom_site_fract_y
_atom_site_fract_z
_atom_site_occupancy
Pu1 0.1316 0.1316 0.8684 1
Pu2 0.8684 0.8684 0.1316 1
U1 0.2500 0.2500 0.2500 1
U2 0.7500 0.7500 0.7500 1
Mo1 0.3396 0.6604 0.3396 1
Mo2 0.6604 0.3396 0.6604 1
```

Calculated values
energy relative to the lowest polymorph listed for this composition = 0.2788 eV per atom
calculated total energy = -11.76 eV/atom
calculated formation energy = 1.2 eV per formula unit

***

Entry 3:
Here is a geometry-optimized Li3TiO4 structure from Alexandria via LeMat-Bulk. Energies are from PBE.

Geometry as CIF:
```
data_Li3TiO4
_chemical_formula_sum 'Li3 Ti1 O4'
_cell_length_a 5.0868
_cell_length_b 5.0868
_cell_length_c 2.9545
_cell_angle_alpha 90.00
_cell_angle_beta 90.00
_cell_angle_gamma 109.36
_symmetry_space_group_name_H-M 'P 1'
_symmetry_Int_Tables_number 1
_symmetry_space_group_name_Hall 'P 1'
loop_
_atom_site_label
_atom_site_fract_x
_atom_site_fract_y
_atom_site_fract_z
_atom_site_occupancy
Li1 0.0000 0.0000 0.0000 1
Li2 0.0000 0.5000 0.5000 1
Li3 0.5000 0.0000 0.5000 1
Ti1 0.5000 0.5000 0.0000 1
O1 0.2661 0.7339 0.0000 1
O2 0.2715 0.2715 0.5000 1
O3 0.7285 0.7285 0.5000 1
O4 0.7339 0.2661 0.0000 1
```

Calculated values
calculated total energy = -6.40 eV/atom
raw formation energy = -2.21 eV/atom

***

Entry 4:
Here is a geometry-optimized Zr3Ag4Au2 structure from Alexandria via LeMat-Bulk. Energies are from PBE.

Geometry as CIF:
```
data_Zr3Ag4Au2
_chemical_formula_sum 'Zr6 Ag8 Au4'
_cell_length_a 8.2686
_cell_length_b 8.2686
_cell_length_c 5.7962
_cell_angle_alpha 90.06
_cell_angle_beta 90.06
_cell_angle_gamma 60.02
_symmetry_space_group_name_H-M 'P 1'
_symmetry_Int_Tables_number 1
_symmetry_space_group_name_Hall 'P 1'
loop_
_atom_site_label
_atom_site_fract_x
_atom_site_fract_y
_atom_site_fract_z
_atom_site_occupancy
Zr1 0.9999 0.0001 0.2500 1
Zr2 0.0001 0.9999 0.7500 1
Zr3 0.3292 0.3292 0.2500 1
Zr4 0.3292 0.3292 0.7500 1
Zr5 0.6708 0.6708 0.2500 1
Zr6 0.6708 0.6708 0.7500 1
Ag1 0.0037 0.6648 0.0003 1
Ag2 0.3352 0.6633 0.0000 1
Ag3 0.3352 0.9963 0.4997 1
Ag4 0.3367 0.6648 0.5000 1
Ag5 0.6633 0.3352 0.5000 1
Ag6 0.6648 0.0037 0.5003 1
Ag7 0.6648 0.3367 0.0000 1
Ag8 0.9963 0.3352 0.9997 1
Au1 0.0015 0.6689 0.5003 1
Au2 0.3311 0.9985 0.9997 1
Au3 0.6689 0.0015 0.0003 1
Au4 0.9985 0.3311 0.4997 1
```

Calculated values
calculated total energy = -5.07 eV/atom
calculated formation energy = -2.0 eV per formula unit